[1]
The following is a DFT calculation (GGA-PBE) of MgTi2Nb after structural relaxation.

It has space group R3m (No. 160, hexagonal axes), with a = 2.9982 Å, b = 2.9982 Å, c = 29.2106 Å, α = 90.00°, β = 90.00° and γ = 120.00°. The asymmetric unit holds Mg at (0.0000, 0.0000, 0.0000), Ti at (0.0000, 0.0000, 0.5780), Ti at (0.0000, 0.0000, 0.7548) and Nb at (0.0000, 0.0000, 0.1665).

For the excess energy over the best structure of this formula in the dataset, the calculation gives 2.38 kcal/mol of atoms. As for the density of states at the Fermi level: 14.75 states/eV per cell. As for the formation energy: 66 kJ/mol of formula units.



[2]
The following is a DFT calculation (GGA-PBE) of Mg3TiNb after structural relaxation.

It has space group Pm-3m (No. 221), with a = 5.002 Å, b = 5.002 Å, c = 5.002 Å, α = 90.00°, β = 90.00° and γ = 90.00°. The asymmetric unit holds Mg at (0.000, 0.000, 0.500), Ti at (0.000, 0.000, 0.000) and Nb at (0.500, 0.500, 0.500).

For the excess energy over the best structure of this formula in the dataset, the calculation gives 0.00 kcal/mol of atoms. As for the density of states at the Fermi level: 4.72 states/eV per cell. As for the formation energy: 682 kJ/mol of formula units.



[3]
The following is a DFT calculation (GGA-PBE) of MgTiNbV after structural relaxation.

It has space group F-43m (No. 216), with a = 6.508 Å, b = 6.508 Å, c = 6.508 Å, α = 90.00°, β = 90.00° and γ = 90.00°. The asymmetric unit holds Mg at (0.000, 0.000, 0.000), Ti at (0.250, 0.250, 0.750), Nb at (0.000, 0.000, 0.500) and V at (0.250, 0.250, 0.250).

As for the density of states at the Fermi level: 18.57 states/eV per cell. As for the formation energy: 83 kJ/mol of formula units.



[4]
The following is a DFT calculation (GGA-PBE) of MgZrTiNb after structural relaxation.

It has space group F-43m (No. 216), with a = 6.774 Å, b = 6.774 Å, c = 6.774 Å, α = 90.00°, β = 90.00° and γ = 90.00°. The asymmetric unit holds Mg at (0.000, 0.000, 0.000), Zr at (0.250, 0.250, 0.750), Ti at (0.250, 0.250, 0.250) and Nb at (0.000, 0.000, 0.500).

As for the density of states at the Fermi level: 13.00 states/eV per cell. As for the formation energy: 53 kJ/mol of formula units.



[5]
The following is a DFT calculation (GGA-PBE) of MgNbTl after structural relaxation.

It has space group Fmmm (No. 69), with a = 5.793 Å, b = 8.640 Å, c = 10.235 Å, α = 90.00°, β = 90.00° and γ = 90.00°. The asymmetric unit holds Mg at (0.000, 0.000, 0.131), Nb at (0.000, 0.161, 0.500) and Tl at (0.250, 0.250, 0.250).

As for the density of states at the Fermi level: 13.45 states/eV per cell. As for the formation energy: 113 kJ/mol of formula units.



[6]
The following is a DFT calculation (GGA-PBE) of MgNb3Tl after structural relaxation.

It has space group Pm-3m (No. 221), with a = 4.790 Å, b = 4.790 Å, c = 4.790 Å, α = 90.00°, β = 90.00° and γ = 90.00°. The asymmetric unit holds Mg at (0.000, 0.000, 0.000), Nb at (0.000, 0.000, 0.500) and Tl at (0.500, 0.500, 0.500).

For the excess energy over the best structure of this formula in the dataset, the calculation gives 0.00 kcal/mol of atoms. As for the density of states at the Fermi level: 0.56 states/eV per cell. As for the formation energy: 724 kJ/mol of formula units.



[7]
The following is a DFT calculation (GGA-PBE) of Mg2NbTlW after structural relaxation.

It has space group P4/mmm (No. 123), with a = 4.829 Å, b = 4.829 Å, c = 5.225 Å, α = 90.00°, β = 90.00° and γ = 90.00°. The asymmetric unit holds Mg at (0.000, 0.500, 0.000), Nb at (0.000, 0.000, 0.500), Tl at (0.500, 0.500, 0.000) and W at (0.500, 0.500, 0.500).

As for the density of states at the Fermi level: 5.34 states/eV per cell. As for the formation energy: 850 kJ/mol of formula units.



[8]
The following is a DFT calculation (GGA-PBE) of YMg2NbTl after structural relaxation.

It has space group P4/mmm (No. 123), with a = 5.421 Å, b = 5.421 Å, c = 5.512 Å, α = 90.00°, β = 90.00° and γ = 90.00°. The asymmetric unit holds Y at (0.000, 0.000, 0.000), Mg at (0.000, 0.500, 0.000), Nb at (0.500, 0.500, 0.500) and Tl at (0.000, 0.000, 0.500).

As for the density of states at the Fermi level: 10.48 states/eV per cell. As for the formation energy: 815 kJ/mol of formula units.



Number 1: spin magnetization 0.0001 μB/atom. Number 2: spin magnetization 0.2399 μB/atom. Number 3: spin magnetization 0.2806 μB/atom. Number 4: spin magnetization 0.0000 μB/atom. Number 5: spin magnetization 0.0000 μB/atom. Number 6: spin magnetization 0.0000 μB/atom. Number 7: spin magnetization 0.0000 μB/atom. Number 8: spin magnetization 0.0164 μB/atom.